[1]
Below is crystalline TbPmY3Ho at its relaxed geometry, with properties calculated at the GGA-PBE level. Values from VASP.

Geometry as Quantum ESPRESSO input:
```
&SYSTEM
  ibrav = 0, nat = 12, ntyp = 4
/
ATOMIC_SPECIES
Tb 158.93 Tb.upf
Pm 145.00 Pm.upf
Y 88.91 Y.upf
Ho 164.93 Ho.upf
ATOMIC_POSITIONS crystal
Tb 0.000 0.000 0.000
Tb 0.000 0.000 0.500
Pm 0.499 0.501 0.750
Pm 0.501 0.499 0.250
Y 0.167 0.833 0.750
Y 0.333 0.667 0.000
Y 0.333 0.667 0.500
Y 0.667 0.333 0.000
Y 0.667 0.333 0.500
Y 0.833 0.167 0.250
Ho 0.167 0.833 0.250
Ho 0.833 0.167 0.750
CELL_PARAMETERS angstrom
2.526 -7.588 0.000
2.526 7.588 0.000
0.000 0.000 10.113
```

## Properties
The formation energy from the elements comes out at 2 kJ per mole of atoms.


[2]
Below is crystalline LiHgPd2N at its relaxed geometry, with properties calculated at the GGA-PBE level. Values from VASP.

Geometry as Quantum ESPRESSO input:
```
&SYSTEM
  ibrav = 0, nat = 5, ntyp = 4
/
ATOMIC_SPECIES
Li 6.94 Li.upf
Hg 200.59 Hg.upf
Pd 106.42 Pd.upf
N 14.01 N.upf
ATOMIC_POSITIONS crystal
Li 0.000 0.000 0.000
Hg 0.500 0.500 0.000
Pd 0.000 0.500 0.500
Pd 0.500 0.000 0.500
N 0.000 0.000 0.500
CELL_PARAMETERS angstrom
4.193 0.000 0.000
0.000 4.193 0.000
0.000 0.000 4.056
```

## Properties
For the energy above the most stable polymorph in this dataset, the calculation gives 0 meV per atom. The uncorrected formation energy comes out at -0.06 eV/atom.


[3]
Below is crystalline InAs2P at its relaxed geometry, with properties calculated at the GGA-PBE level. Values from VASP.

Geometry as Quantum ESPRESSO input:
```
&SYSTEM
  ibrav = 0, nat = 4, ntyp = 3
/
ATOMIC_SPECIES
In 114.82 In.upf
As 74.92 As.upf
P 30.97 P.upf
ATOMIC_POSITIONS crystal
In 0.000 0.000 0.000
As 0.508 0.508 0.508
As 0.765 0.765 0.765
P 0.253 0.253 0.253
CELL_PARAMETERS angstrom
1.941 1.121 6.389
-1.941 1.121 6.389
0.000 -2.241 6.389
```

## Properties
The formation energy from the elements comes out at 11 kJ per mole of atoms. For the energy above the most stable polymorph in this dataset, the calculation gives 100 meV per atom.


| no. | E_tot (eV/atom) |
| --- | --- |
| 1 | -5.538 |
| 2 | -4.250 |
| 3 | -4.247 |